Density functional theory data (PBE) for an optimized crystal structure of SrOsRh.

Cell lengths 2.8624, 3.9691, 10.9806 Å; angles 90.00, 90.00, 90.00 degrees
Closest atoms and distances in Å follow each position.
Space group Imm2 (No. 44)
Asymmetric unit:
1 Sr 0.0000 0.0000 0.0000 [2 per cell]  2 Sr 2.86, 1 Os 3.15, 1 Rh 3.15
2 Os 0.0000 0.0000 0.2868 [2 per cell]  4 Rh 2.58, 2 Os 2.86
3 Rh 0.0000 0.0000 0.7127 [2 per cell]  4 Os 2.58, 2 Rh 2.86

Properties
DFT total energy: -6.43 eV per atom
Excess energy over the best structure of this formula in the dataset: 0.000 eV/atom
Volume: 124.8 Å³ per cell
DOS(E_F): 2.721 states/eV/f.u.

Density functional theory data (PBE) for an optimized crystal structure of Ca2NpO5.

Cell lengths 4.3509, 11.3704, 10.8970 Å; angles 90.00, 90.00, 90.00 degrees
Closest atoms and distances in Å follow each position.
Space group Cmcm (No. 63)
Asymmetric unit:
1 Ca 0.0000 0.1447 0.0707 [8 per cell]  6 O 2.29-2.52
2 Np 0.0000 0.1741 0.7500 [4 per cell]  4 O 1.99-2.07
3 O 0.0000 0.0509 0.6208 [8 per cell]  1 Np 1.99
4 O 0.0000 0.2841 0.2500 [4 per cell]  2 Np 2.23
5 O 0.0000 0.2898 0.6038 [8 per cell]  1 Np 2.07

Properties
DFT total energy: -8.25 eV per atom
Excess energy over the best structure of this formula in the dataset: 0.003 eV/atom
Volume: 539.1 Å³ per cell

Density functional theory data (PBE) for an optimized crystal structure of SmEr3Tl4Se8.

Cell lengths 8.3669, 8.3669, 23.3245 Å; angles 90.00, 90.00, 120.00 degrees
Closest atoms and distances in Å follow each position.
Space group R-3m (No. 166, hexagonal axes)
Asymmetric unit:
1 Sm 0.0000 0.0000 0.0000 [3 per cell]  6 Se 2.93
2 Er 0.0000 0.5000 0.0000 [9 per cell]  6 Se 2.87-2.88
3 Tl 0.0000 0.0000 0.5000 [3 per cell]  6 Se 3.30
4 Tl 0.0000 0.5000 0.5000 [9 per cell]  6 Se 3.35
5 Se 0.0000 0.0000 0.2661 [6 per cell]  3 Er 2.88
6 Se 0.0064 0.5032 0.2651 [18 per cell]  2 Er 2.87, 1 Sm 2.93

Properties
DFT total energy: -4.86 eV per atom
Volume: 1414.2 Å³ per cell

Repeat the first record exactly.
Density functional theory data (PBE) for an optimized crystal structure of SrOsRh.

Cell lengths 2.8624, 3.9691, 10.9806 Å; angles 90.00, 90.00, 90.00 degrees
Closest atoms and distances in Å follow each position.
Space group Imm2 (No. 44)
Asymmetric unit:
1 Sr 0.0000 0.0000 0.0000 [2 per cell]  2 Sr 2.86, 1 Os 3.15, 1 Rh 3.15
2 Os 0.0000 0.0000 0.2868 [2 per cell]  4 Rh 2.58, 2 Os 2.86
3 Rh 0.0000 0.0000 0.7127 [2 per cell]  4 Os 2.58, 2 Rh 2.86

Properties
DFT total energy: -6.43 eV per atom
Excess energy over the best structure of this formula in the dataset: 0.000 eV/atom
Volume: 124.8 Å³ per cell
DOS(E_F): 2.721 states/eV/f.u.

- What is the DFT total energy in the first record?
  -6.43 eV per atom